Record 1
# Zr4Te (PBE, relaxed)
data_Zr4Te
_chemical_formula_sum 'Zr4 Te1'
_cell_length_a 5.635
_cell_length_b 5.635
_cell_length_c 5.635
_cell_angle_alpha 109.47
_cell_angle_beta 109.47
_cell_angle_gamma 109.47
_symmetry_space_group_name_H-M 'P 1'
_symmetry_Int_Tables_number 1
loop_
_symmetry_equiv_pos_as_xyz
'x,y,z'
loop_
_atom_site_label
_atom_site_type_symbol
_atom_site_fract_x
_atom_site_fract_y
_atom_site_fract_z
Zr1 Zr 0.000 0.000 0.500
Zr2 Zr 0.000 0.500 0.000
Zr3 Zr 0.500 0.000 0.000
Zr4 Zr 0.500 0.500 0.500
Te1 Te 0.000 0.000 0.000
# - crystal system = cubic
# - V (Å³/cell) = 138
# - excess energy over the best structure of this formula in the dataset (eV/atom) = 0.702

Record 2
# ZrTe3 (PBE, relaxed)
data_ZrTe3
_chemical_formula_sum 'Zr2 Te6'
_cell_length_a 5.930
_cell_length_b 5.930
_cell_length_c 5.930
_cell_angle_alpha 90.00
_cell_angle_beta 90.00
_cell_angle_gamma 90.00
_symmetry_space_group_name_H-M 'P 1'
_symmetry_Int_Tables_number 1
loop_
_symmetry_equiv_pos_as_xyz
'x,y,z'
loop_
_atom_site_label
_atom_site_type_symbol
_atom_site_fract_x
_atom_site_fract_y
_atom_site_fract_z
Zr1 Zr 0.000 0.000 0.000
Zr2 Zr 0.500 0.500 0.500
Te1 Te 0.000 0.250 0.500
Te2 Te 0.000 0.750 0.500
Te3 Te 0.250 0.500 0.000
Te4 Te 0.500 0.000 0.250
Te5 Te 0.500 0.000 0.750
Te6 Te 0.750 0.500 0.000
# - crystal system = cubic
# - V (Å³/cell) = 208

Record 3
# Zr2Te (PBE, relaxed)
data_Zr2Te
_chemical_formula_sum 'Zr6 Te3'
_cell_length_a 7.898
_cell_length_b 7.898
_cell_length_c 3.781
_cell_angle_alpha 90.00
_cell_angle_beta 90.00
_cell_angle_gamma 120.00
_symmetry_space_group_name_H-M 'P 1'
_symmetry_Int_Tables_number 1
loop_
_symmetry_equiv_pos_as_xyz
'x,y,z'
loop_
_atom_site_label
_atom_site_type_symbol
_atom_site_fract_x
_atom_site_fract_y
_atom_site_fract_z
Zr1 Zr 0.000 0.265 0.000
Zr2 Zr 0.000 0.597 0.500
Zr3 Zr 0.265 0.000 0.000
Zr4 Zr 0.403 0.403 0.500
Zr5 Zr 0.597 0.000 0.500
Zr6 Zr 0.735 0.735 0.000
Te1 Te 0.000 0.000 0.500
Te2 Te 0.333 0.667 0.000
Te3 Te 0.667 0.333 0.000
# - crystal system = hexagonal
# - V (Å³/cell) = 204

Record 4
# ZrTe5 (PBE, relaxed)
data_ZrTe5
_chemical_formula_sum 'Zr1 Te5'
_cell_length_a 6.230
_cell_length_b 6.230
_cell_length_c 6.230
_cell_angle_alpha 60.00
_cell_angle_beta 60.00
_cell_angle_gamma 60.00
_symmetry_space_group_name_H-M 'P 1'
_symmetry_Int_Tables_number 1
loop_
_symmetry_equiv_pos_as_xyz
'x,y,z'
loop_
_atom_site_label
_atom_site_type_symbol
_atom_site_fract_x
_atom_site_fract_y
_atom_site_fract_z
Zr1 Zr 0.000 0.000 0.000
Te1 Te 0.374 0.374 0.374
Te2 Te 0.374 0.374 0.878
Te3 Te 0.374 0.878 0.374
Te4 Te 0.750 0.750 0.750
Te5 Te 0.878 0.374 0.374
# - crystal system = cubic
# - V (Å³/cell) = 171
# - excess energy over the best structure of this formula in the dataset (eV/atom) = 0.955

Record 5
# Zr2Te3 (PBE, relaxed)
data_Zr2Te3
_chemical_formula_sum 'Zr2 Te3'
_cell_length_a 5.096
_cell_length_b 5.096
_cell_length_c 6.080
_cell_angle_alpha 90.00
_cell_angle_beta 90.00
_cell_angle_gamma 120.00
_symmetry_space_group_name_H-M 'P 1'
_symmetry_Int_Tables_number 1
loop_
_symmetry_equiv_pos_as_xyz
'x,y,z'
loop_
_atom_site_label
_atom_site_type_symbol
_atom_site_fract_x
_atom_site_fract_y
_atom_site_fract_z
Zr1 Zr 0.333 0.667 0.335
Zr2 Zr 0.667 0.333 0.665
Te1 Te 0.000 0.000 0.500
Te2 Te 0.333 0.667 0.816
Te3 Te 0.667 0.333 0.184
# - crystal system = trigonal
# - V (Å³/cell) = 137

Record 6
# ZrTe3 (PBE, relaxed)
data_ZrTe3
_chemical_formula_sum 'Zr1 Te3'
_cell_length_a 5.705
_cell_length_b 5.705
_cell_length_c 5.705
_cell_angle_alpha 114.28
_cell_angle_beta 114.28
_cell_angle_gamma 114.28
_symmetry_space_group_name_H-M 'P 1'
_symmetry_Int_Tables_number 1
loop_
_symmetry_equiv_pos_as_xyz
'x,y,z'
loop_
_atom_site_label
_atom_site_type_symbol
_atom_site_fract_x
_atom_site_fract_y
_atom_site_fract_z
Zr1 Zr 0.000 0.000 0.000
Te1 Te 0.000 0.500 0.500
Te2 Te 0.500 0.000 0.500
Te3 Te 0.500 0.500 0.000
# - crystal system = trigonal
# - V (Å³/cell) = 110

Record 7
# ZrTe7 (PBE, relaxed)
data_ZrTe7
_chemical_formula_sum 'Zr1 Te7'
_cell_length_a 6.775
_cell_length_b 6.775
_cell_length_c 6.775
_cell_angle_alpha 60.00
_cell_angle_beta 60.00
_cell_angle_gamma 60.00
_symmetry_space_group_name_H-M 'P 1'
_symmetry_Int_Tables_number 1
loop_
_symmetry_equiv_pos_as_xyz
'x,y,z'
loop_
_atom_site_label
_atom_site_type_symbol
_atom_site_fract_x
_atom_site_fract_y
_atom_site_fract_z
Zr1 Zr 0.000 0.000 0.000
Te1 Te 0.000 0.000 0.500
Te2 Te 0.000 0.500 0.000
Te3 Te 0.000 0.500 0.500
Te4 Te 0.500 0.000 0.000
Te5 Te 0.500 0.000 0.500
Te6 Te 0.500 0.500 0.000
Te7 Te 0.500 0.500 0.500
# - crystal system = cubic
# - V (Å³/cell) = 220

Record 8
# ZrTe3 (PBE, relaxed)
data_ZrTe3
_chemical_formula_sum 'Zr1 Te3'
_cell_length_a 5.323
_cell_length_b 5.323
_cell_length_c 3.639
_cell_angle_alpha 90.00
_cell_angle_beta 90.00
_cell_angle_gamma 90.00
_symmetry_space_group_name_H-M 'P 1'
_symmetry_Int_Tables_number 1
loop_
_symmetry_equiv_pos_as_xyz
'x,y,z'
loop_
_atom_site_label
_atom_site_type_symbol
_atom_site_fract_x
_atom_site_fract_y
_atom_site_fract_z
Zr1 Zr 0.000 0.000 0.000
Te1 Te 0.000 0.500 0.500
Te2 Te 0.500 0.000 0.500
Te3 Te 0.500 0.500 0.000
# - crystal system = tetragonal
# - V (Å³/cell) = 103

Record 9
# Zr2Te (PBE, relaxed)
data_Zr2Te
_chemical_formula_sum 'Zr4 Te2'
_cell_length_a 7.556
_cell_length_b 7.556
_cell_length_c 4.949
_cell_angle_alpha 90.00
_cell_angle_beta 90.00
_cell_angle_gamma 151.45
_symmetry_space_group_name_H-M 'P 1'
_symmetry_Int_Tables_number 1
loop_
_symmetry_equiv_pos_as_xyz
'x,y,z'
loop_
_atom_site_label
_atom_site_type_symbol
_atom_site_fract_x
_atom_site_fract_y
_atom_site_fract_z
Zr1 Zr 0.069 0.931 0.750
Zr2 Zr 0.259 0.741 0.250
Zr3 Zr 0.741 0.259 0.750
Zr4 Zr 0.931 0.069 0.250
Te1 Te 0.402 0.598 0.750
Te2 Te 0.598 0.402 0.250
# - crystal system = orthorhombic
# - V (Å³/cell) = 135

Record 10
# ZrTe4 (PBE, relaxed)
data_ZrTe4
_chemical_formula_sum 'Zr1 Te4'
_cell_length_a 6.651
_cell_length_b 6.651
_cell_length_c 6.651
_cell_angle_alpha 94.52
_cell_angle_beta 94.52
_cell_angle_gamma 147.41
_symmetry_space_group_name_H-M 'P 1'
_symmetry_Int_Tables_number 1
loop_
_symmetry_equiv_pos_as_xyz
'x,y,z'
loop_
_atom_site_label
_atom_site_type_symbol
_atom_site_fract_x
_atom_site_fract_y
_atom_site_fract_z
Zr1 Zr 0.000 0.000 0.000
Te1 Te 0.240 0.500 0.740
Te2 Te 0.500 0.240 0.740
Te3 Te 0.500 0.760 0.260
Te4 Te 0.760 0.500 0.260
# - crystal system = tetragonal
# - V (Å³/cell) = 152

Record 11
# Zr2Te (PBE, relaxed)
data_Zr2Te
_chemical_formula_sum 'Zr2 Te1'
_cell_length_a 5.507
_cell_length_b 5.507
_cell_length_c 5.507
_cell_angle_alpha 140.13
_cell_angle_beta 140.13
_cell_angle_gamma 57.66
_symmetry_space_group_name_H-M 'P 1'
_symmetry_Int_Tables_number 1
loop_
_symmetry_equiv_pos_as_xyz
'x,y,z'
loop_
_atom_site_label
_atom_site_type_symbol
_atom_site_fract_x
_atom_site_fract_y
_atom_site_fract_z
Zr1 Zr 0.165 0.165 0.000
Zr2 Zr 0.835 0.835 0.000
Te1 Te 0.500 0.500 0.000
# - crystal system = tetragonal
# - V (Å³/cell) = 68

Record 12
# ZrTe3 (PBE, relaxed)
data_ZrTe3
_chemical_formula_sum 'Zr1 Te3'
_cell_length_a 9.898
_cell_length_b 9.898
_cell_length_c 9.898
_cell_angle_alpha 21.71
_cell_angle_beta 21.71
_cell_angle_gamma 21.71
_symmetry_space_group_name_H-M 'P 1'
_symmetry_Int_Tables_number 1
loop_
_symmetry_equiv_pos_as_xyz
'x,y,z'
loop_
_atom_site_label
_atom_site_type_symbol
_atom_site_fract_x
_atom_site_fract_y
_atom_site_fract_z
Zr1 Zr 0.000 0.000 0.000
Te1 Te 0.266 0.266 0.266
Te2 Te 0.500 0.500 0.500
Te3 Te 0.734 0.734 0.734
# - crystal system = trigonal
# - V (Å³/cell) = 116

Spin magnetization, respectively: 0.000, 0.000, 0.000, 0.000, 0.000, 0.000, 0.125, 0.000, 0.000, 0.000, 0.000, 0.000 μB/atom.
Formation energy (no corrections), respectively: 0.443, -0.297, -0.548, 0.451, -0.633, -0.101, 0.280, -0.028, -0.491, -0.293, -0.473, -0.423 eV/atom.
E_tot, respectively: -7.02, -4.79, -7.29, -3.59, -5.94, -4.59, -3.54, -4.52, -7.24, -4.52, -7.22, -4.92 eV per atom.